Compound: CrAuO2
Source: the Alexandria database
Functional: GGA+U
Structure: relaxed

Unit cell a=4.054 b=4.054 c=4.054 alpha=60.00 beta=60.00 gamma=60.00
Each line ends with the local moment (μB).
Fractional coordinates of all 4 atoms:
Au: 0.500 0.500 0.500  -0.20
O: 0.750 0.750 0.750  -0.38
O: 0.250 0.250 0.250  -0.38
Cr: 0.000 0.000 0.000  3.82

Results
* space group: Fm-3m, No. 225
* energy above the lowest structure with this stoichiometry: 1268 meV/atom
* mass density: 9.906 g/cm3
* calculated volume: 47.1 Å³ per cell